Record 1
An optimized crystal structure of ErTmC, computed with PBE.

Properties
energy above the lowest structure with this stoichiometry: 0 meV/atom
mass density: 8.81 Mg/m³

The structure in CIF format:
```
data_ErTmC
_cell_length_a 6.1474
_cell_length_b 3.5506
_cell_length_c 6.3531
_cell_angle_alpha 90.00
_cell_angle_beta 108.89
_cell_angle_gamma 90.00
_space_group_name_H-M_alt 'P 1 21/m 1'
_space_group_IT_number 11
loop_
_space_group_symop_operation_xyz
'x,y,z'
'-x,-y,-z'
'-x,y+1/2,-z'
'x,-y+1/2,z'
loop_
_atom_site_label
_atom_site_fract_x
_atom_site_fract_y
_atom_site_fract_z
Er1 0.0092 0.2500 0.2786
Tm1 0.4903 0.2500 0.7200
C1 0.2510 0.7500 0.5004
```

---

Record 2
An optimized crystal structure of AlSi2Ru, computed with PBE.

Properties
uncorrected formation energy: -73 meV/atom
mass density: 5.54 Mg/m³

The structure in CIF format:
```
data_AlSi2Ru
_cell_length_a 2.9738
_cell_length_b 3.5423
_cell_length_c 5.2416
_cell_angle_alpha 90.00
_cell_angle_beta 90.00
_cell_angle_gamma 90.00
_space_group_name_H-M_alt 'P m m m'
_space_group_IT_number 47
loop_
_space_group_symop_operation_xyz
'x,y,z'
'-x,-y,-z'
'-x,-y,z'
'x,y,-z'
'x,-y,-z'
'-x,y,z'
'-x,y,-z'
'x,-y,z'
loop_
_atom_site_label
_atom_site_fract_x
_atom_site_fract_y
_atom_site_fract_z
Al1 0.0000 0.0000 0.0000
Si1 0.5000 0.5000 0.2546
Ru1 0.0000 0.0000 0.5000
```

---

Record 3
An optimized crystal structure of LiY3In, computed with PBE.

Properties
energy above the lowest structure with this stoichiometry: 509 meV/atom
mass density: 4.48 Mg/m³

The structure in CIF format:
```
data_LiY3In
_cell_length_a 5.2408
_cell_length_b 5.2408
_cell_length_c 5.2408
_cell_angle_alpha 90.00
_cell_angle_beta 90.00
_cell_angle_gamma 90.00
_space_group_name_H-M_alt 'P m -3 m'
_space_group_IT_number 221
_space_group_name_Hall '-P 4 2 3'
loop_
_atom_site_label
_atom_site_fract_x
_atom_site_fract_y
_atom_site_fract_z
Li1 0.0000 0.0000 0.0000
Y1 0.0000 0.0000 0.5000
In1 0.5000 0.5000 0.5000
```